The following is a PBE calculation of an optimized crystal structure of MnTlSi2, from the Alexandria database.

abc: 2.952 2.952 7.910
angles: 90.00 90.00 90.00
Fractional coordinates of all 4 atoms:
Mn (0.000, 0.000, 0.000)
Tl (0.000, 0.000, 0.500)
Si (0.500, 0.500, 0.162)
Si (0.500, 0.500, 0.838)

Values from the calculation:
- excess energy over the best structure of this formula in the dataset (meV/atom) = 41
- energy relative to the elements, uncorrected (eV/atom) = 0.17

The following is a PBE calculation of an optimized crystal structure of NaThGe2, from the Alexandria database.

abc: 4.713 4.713 4.168
angles: 90.00 90.00 90.00
Fractional coordinates of all 4 atoms:
Na (0.000, 0.000, 0.000)
Th (0.500, 0.500, 0.000)
Ge (0.000, 0.500, 0.500)
Ge (0.500, 0.000, 0.500)

Values from the calculation:
- final energy (eV/atom) = -4.8130